Entry 1:
Material: LaNb2TlF
Method: DFT, GGA-PBEsol
State: relaxed

Summary:
energy relative to the elements, uncorrected	61.0	kJ/mol of atoms
total magnetic moment	0.189	μB/atom
symmetry	P4/mmm, No. 123

CIF file:
```
data_LaNb2TlF
_chemical_formula_sum 'La1 Nb2 Tl1 F1'
_symmetry_space_group_name_H-M 'P 1'
_symmetry_Int_Tables_number 1
_cell_length_a 5.149
_cell_length_b 5.149
_cell_length_c 4.360
_cell_angle_alpha 90.00
_cell_angle_beta 90.00
_cell_angle_gamma 90.00
loop_
_symmetry_equiv_pos_as_xyz
'x,y,z'
loop_
_atom_site_label
_atom_site_type_symbol
_atom_site_fract_x
_atom_site_fract_y
_atom_site_fract_z
La1 La 0.000 0.000 0.000
Nb1 Nb 0.000 0.500 0.000
Nb2 Nb 0.500 0.000 0.000
Tl1 Tl 0.500 0.500 0.500
F1 F 0.000 0.000 0.500
```



Entry 2:
Material: LaNiF3
Method: DFT, GGA-PBEsol
State: relaxed

Summary:
energy relative to the elements, uncorrected	-213.4	kJ/mol of atoms
total magnetic moment	0.347	μB/atom
symmetry	Pm-3m, No. 221

CIF file:
```
data_LaNiF3
_chemical_formula_sum 'La1 Ni1 F3'
_symmetry_space_group_name_H-M 'P 1'
_symmetry_Int_Tables_number 1
_cell_length_a 4.634
_cell_length_b 4.634
_cell_length_c 4.634
_cell_angle_alpha 90.00
_cell_angle_beta 90.00
_cell_angle_gamma 90.00
loop_
_symmetry_equiv_pos_as_xyz
'x,y,z'
loop_
_atom_site_label
_atom_site_type_symbol
_atom_site_fract_x
_atom_site_fract_y
_atom_site_fract_z
La1 La 0.000 0.000 0.000
Ni1 Ni 0.500 0.500 0.500
F1 F 0.000 0.000 0.500
F2 F 0.000 0.500 0.000
F3 F 0.500 0.000 0.000
```



Entry 3:
Material: LaNi2PbF
Method: DFT, GGA-PBEsol
State: relaxed

Summary:
energy relative to the elements, uncorrected	-5.4	kJ/mol of atoms
total magnetic moment	0.000	μB/atom
symmetry	P4/mmm, No. 123

CIF file:
```
data_LaNi2PbF
_chemical_formula_sum 'La1 Ni2 Pb1 F1'
_symmetry_space_group_name_H-M 'P 1'
_symmetry_Int_Tables_number 1
_cell_length_a 4.463
_cell_length_b 4.463
_cell_length_c 4.739
_cell_angle_alpha 90.00
_cell_angle_beta 90.00
_cell_angle_gamma 90.00
loop_
_symmetry_equiv_pos_as_xyz
'x,y,z'
loop_
_atom_site_label
_atom_site_type_symbol
_atom_site_fract_x
_atom_site_fract_y
_atom_site_fract_z
La1 La 0.000 0.000 0.000
Ni1 Ni 0.000 0.500 0.500
Ni2 Ni 0.500 0.000 0.500
Pb1 Pb 0.500 0.500 0.000
F1 F 0.500 0.500 0.500
```



Entry 4:
Material: LaNiWF2
Method: DFT, GGA-PBEsol
State: relaxed

Summary:
energy relative to the elements, uncorrected	-37.4	kJ/mol of atoms
total magnetic moment	0.677	μB/atom
symmetry	P4/mmm, No. 123

CIF file:
```
data_LaNiWF2
_chemical_formula_sum 'La1 Ni1 W1 F2'
_symmetry_space_group_name_H-M 'P 1'
_symmetry_Int_Tables_number 1
_cell_length_a 4.276
_cell_length_b 4.276
_cell_length_c 6.525
_cell_angle_alpha 90.00
_cell_angle_beta 90.00
_cell_angle_gamma 90.00
loop_
_symmetry_equiv_pos_as_xyz
'x,y,z'
loop_
_atom_site_label
_atom_site_type_symbol
_atom_site_fract_x
_atom_site_fract_y
_atom_site_fract_z
La1 La 0.000 0.000 0.000
Ni1 Ni 0.500 0.500 0.500
W1 W 0.000 0.000 0.500
F1 F 0.000 0.500 0.000
F2 F 0.500 0.000 0.000
```



Entry 5:
Material: La2OF
Method: DFT, GGA-PBEsol
State: relaxed

Summary:
energy relative to the elements, uncorrected	-245.6	kJ/mol of atoms
total magnetic moment	0.691	μB/atom
symmetry	I-42d, No. 122

CIF file:
```
data_La2OF
_chemical_formula_sum 'La4 O2 F2'
_symmetry_space_group_name_H-M 'P 1'
_symmetry_Int_Tables_number 1
_cell_length_a 6.936
_cell_length_b 6.936
_cell_length_c 6.936
_cell_angle_alpha 131.38
_cell_angle_beta 131.38
_cell_angle_gamma 71.22
loop_
_symmetry_equiv_pos_as_xyz
'x,y,z'
loop_
_atom_site_label
_atom_site_type_symbol
_atom_site_fract_x
_atom_site_fract_y
_atom_site_fract_z
La1 La 0.101 0.625 0.976
La2 La 0.375 0.351 0.476
La3 La 0.649 0.125 0.024
La4 La 0.875 0.899 0.524
O1 O 0.000 0.000 0.000
O2 O 0.750 0.250 0.500
F1 F 0.250 0.750 0.500
F2 F 0.500 0.500 0.000
```



Entry 6:
Material: La3OF
Method: DFT, GGA-PBEsol
State: relaxed

Summary:
energy relative to the elements, uncorrected	-138.1	kJ/mol of atoms
total magnetic moment	0.000	μB/atom
symmetry	Pm-3m, No. 221

CIF file:
```
data_La3OF
_chemical_formula_sum 'La3 O1 F1'
_symmetry_space_group_name_H-M 'P 1'
_symmetry_Int_Tables_number 1
_cell_length_a 4.876
_cell_length_b 4.876
_cell_length_c 4.876
_cell_angle_alpha 90.00
_cell_angle_beta 90.00
_cell_angle_gamma 90.00
loop_
_symmetry_equiv_pos_as_xyz
'x,y,z'
loop_
_atom_site_label
_atom_site_type_symbol
_atom_site_fract_x
_atom_site_fract_y
_atom_site_fract_z
La1 La 0.000 0.000 0.500
La2 La 0.000 0.500 0.000
La3 La 0.500 0.000 0.000
O1 O 0.000 0.000 0.000
F1 F 0.500 0.500 0.500
```